# 1
Pm6Ag5Sn, optimized geometry, DFT PBE-GGA; polymorph energy (0 for the lowest one) = 2.196 eV/f.u.; uncorrected energy = -48.719 eV/f.u.; energy of formation from the pure elements = -0.16 eV per atom
1.0
7.9958 -0.2851 0.0000
1.9370 7.4824 0.0000
0.9685 3.7412 5.7165
Pm Ag Sn
6 5 1
direct
0.7218 0.1022 0.3444
0.2782 0.5535 0.3444
0.1995 0.3087 0.0000
0.8005 0.6913 0.0000
0.7218 0.4465 0.6556
0.2782 0.8978 0.6556
0.5000 0.1214 0.7572
0.0000 0.2794 0.4412
0.5000 0.5000 0.0000
0.0000 0.7206 0.5588
0.5000 0.8786 0.2428
0.0000 0.0000 0.0000


# 2
LaSc2MnRe, optimized geometry, DFT PBE-GGA; uncorrected energy = -37.557 eV/f.u.; energy of formation from the pure elements = 0.33 eV per atom
1.0
-3.6095 -3.4996 0.7813
3.1217 -2.5214 3.1278
-1.6803 2.5700 3.7488
Sc Re Mn La
2 1 1 1
direct
0.0000 0.5000 0.0000
0.5000 0.0000 0.0000
0.0000 0.0000 0.0000
0.0000 0.0000 0.5000
0.5000 0.5000 0.5000


# 3
FeTe2WI, optimized geometry, DFT PBE-GGA; polymorph energy (0 for the lowest one) = 0.000 eV/f.u.; uncorrected energy = -21.910 eV/f.u.
1.0
4.8855 0.0000 0.0000
0.0000 4.8855 0.0000
0.0000 0.0000 4.9560
I Te Fe W
1 2 1 1
direct
0.0000 0.0000 0.5000
0.0000 0.5000 0.0000
0.5000 0.0000 0.0000
0.0000 0.0000 0.0000
0.5000 0.5000 0.5000


# 4
Te2PS, optimized geometry, DFT PBE-GGA; polymorph energy (0 for the lowest one) = 0.872 eV/f.u.; uncorrected energy = -13.451 eV/f.u.
1.0
-3.1638 -3.7222 0.7050
-2.9728 0.0006 3.9401
-4.8470 0.7403 -0.5656
P S Te
1 1 2
direct
0.0000 0.0000 0.0000
0.5000 0.5000 0.5000
0.2500 0.2500 0.2500
0.7500 0.7500 0.7500


# 5
Be3PtBr, optimized geometry, DFT PBE-GGA; polymorph energy (0 for the lowest one) = 4.869 eV/f.u.; uncorrected energy = -12.531 eV/f.u.
1.0
-0.2463 -2.0764 -3.6463
4.0447 -1.0894 0.3472
-1.1166 -3.4884 2.0619
Be Br Pt
3 1 1
direct
0.0000 0.5000 0.0000
0.0000 0.0000 0.5000
0.5000 0.0000 0.0000
0.0000 0.0000 0.0000
0.5000 0.5000 0.5000


# 6
K2CdPt, optimized geometry, DFT PBE-GGA; polymorph energy (0 for the lowest one) = 0.935 eV/f.u.; uncorrected energy = -8.808 eV/f.u.; energy of formation from the pure elements = 0.09 eV per atom
1.0
5.1174 0.0509 0.0000
-1.7343 4.8148 0.0000
0.0000 0.0000 4.6744
Cd K Pt
1 2 1
direct
0.0000 0.5000 0.5000
0.0000 0.0000 0.0000
0.5000 0.5000 0.0000
0.5000 0.0000 0.5000